Tb12Co6Hg: optimized geometry, PBE.

Formation energy ... -224 meV per atom
Crystal system ... cubic
Size of the total moment ... 0.0001 μB/atom

```
data_Tb12Co6Hg
_space_group_name_H-M_alt 'I m -3'
_space_group_IT_number 204
_space_group_name_Hall '-I 2 2 3'
_cell_length_a 9.647
_cell_length_b 9.647
_cell_length_c 9.647
_cell_angle_alpha 90.00
_cell_angle_beta 90.00
_cell_angle_gamma 90.00
loop_
_atom_site_label
_atom_site_type_symbol
_atom_site_fract_x
_atom_site_fract_y
_atom_site_fract_z
_atom_site_occupancy
Tb1 Tb 0.000 0.303 0.194 1
Co1 Co 0.000 0.113 0.500 1
Hg1 Hg 0.000 0.000 0.000 1
```